# 1
NpBiPtAu | PBE-GGA | relaxed

Output
Space group: F-43m
Formation energy in eV/f.u.: -0.836
E in eV/f.u.: -26.976

a b c (Å): 5.018 5.018 5.018
angles (deg): 60.00 60.00 60.00
Last column: magnetic moment on the atom in μB.
Fractional coordinates of all 4 atoms:
Pt  0.250  0.250  0.250  -0.11
Au  0.750  0.750  0.750  -0.03
Bi  0.500  0.500  0.500  0.00
Np  0.000  0.000  0.000  3.72

# 2
K2LiUSe4 | PBE-GGA | relaxed

Output
Space group: P2/m
Uncorrected formation energy in eV/atom: -1.21
E in eV/f.u.: -39.035

a b c (Å): 4.254 7.090 7.929
angles (deg): 107.33 90.00 90.00
Last column: magnetic moment on the atom in μB.
Fractional coordinates of all 8 atoms:
Se  0.500  0.226  0.198  -0.05
Se  0.000  0.248  0.803  -0.06
Se  0.000  0.752  0.197  -0.06
Se  0.500  0.774  0.802  -0.05
U  0.000  0.000  0.000  1.28
K  0.500  0.000  0.500  0.00
K  0.000  0.500  0.500  0.00
Li  0.500  0.500  0.000  0.00

# 3
TbPmNdTm | PBE-GGA | relaxed

Output
Space group: F-43m
Formation energy in eV/f.u.: 0.459
E in eV/f.u.: -18.161

a b c (Å): 5.723 5.723 5.723
angles (deg): 60.00 60.00 60.00
Fractional coordinates of all 4 atoms:
Tm  0.500  0.500  0.500
Nd  0.250  0.250  0.250
Pm  0.750  0.750  0.750
Tb  0.000  0.000  0.000

# 4
Ca2NdSc | PBE-GGA | relaxed

Output
Space group: P4/mmm
Formation energy in eV/f.u.: 0.851
E in eV/f.u.: -14.252

a b c (Å): 4.076 4.076 8.284
angles (deg): 90.00 90.00 90.00
Fractional coordinates of all 4 atoms:
Ca  0.000  0.000  0.769
Ca  0.000  0.000  0.231
Sc  0.500  0.500  0.000
Nd  0.500  0.500  0.500

# 5
Tb2GaCu3 | PBE-GGA | relaxed

Output
Space group: Fmmm
Formation energy in eV/f.u.: -2.133
E in eV/f.u.: -26.709

a b c (Å): 5.598 5.598 8.628
angles (deg): 112.61 112.61 79.33
Fractional coordinates of all 12 atoms:
Ga  0.334  0.334  0.668
Ga  0.666  0.666  0.332
Cu  0.665  0.665  0.834
Cu  0.831  0.831  0.166
Cu  0.167  0.167  0.333
Cu  0.335  0.335  0.166
Cu  0.169  0.169  0.834
Cu  0.833  0.833  0.667
Tb  0.759  0.241  0.000
Tb  0.241  0.759  0.000
Tb  0.750  0.250  0.500
Tb  0.250  0.750  0.500